i) This record from the Open Quantum Materials Database describes a geometry-optimized Pm structure. The functional is PBE-GGA.

```
4
Lattice="-2.103 -0.478 -6.563 4.131 -4.256 3.543 -2.941 -1.952 1.084" Properties=species:S:1:pos:R:3 pbc="T T T"
Pm 3.170 -3.826 2.223
Pm -1.178 -2.754 -2.376
Pm 0.265 -3.932 0.440
Pm -4.083 -2.860 -4.160
```

Computed properties:
The crystal system is orthorhombic. The value obtained for the mass density is 7.0 g/cm3. The value obtained for the total magnetization is 0.012 μB per cell.

ii) This record from the Open Quantum Materials Database describes a geometry-optimized Pm structure. The functional is PBE-GGA.

```
1
Lattice="2.916 2.095 0.372 -0.192 0.888 -3.494 -2.901 0.543 2.163" Properties=species:S:1:pos:R:3 pbc="T T T"
Pm 0.000 0.000 0.000
```

Computed properties:
The crystal system is tetragonal. The value obtained for the mass density is 7.0 g/cm3. The value obtained for the total magnetization is 0.001 μB per cell.

Question: which arrangement is favored energetically? Ranking from most to least stable: ii), i).